(1)
Here is a relaxed structure of Cr2FeAs from Alexandria. Energies are from GGA-PBE.

```
data_Cr2FeAs
_cell_length_a 3.0886
_cell_length_b 3.0886
_cell_length_c 5.2524
_cell_angle_alpha 90.00
_cell_angle_beta 90.00
_cell_angle_gamma 90.00
_space_group_name_H-M_alt 'P 4 m m'
_space_group_IT_number 99
loop_
_space_group_symop_operation_xyz
'x,y,z'
'-y,x,z'
'-x,-y,z'
'y,-x,z'
'-x,y,z'
'y,x,z'
'x,-y,z'
'-y,-x,z'
loop_
_atom_site_label
_atom_site_fract_x
_atom_site_fract_y
_atom_site_fract_z
_atom_site_occupancy
Cr1 0.0000 0.0000 0.0000 1
Cr2 0.5000 0.5000 0.2093 1
Fe1 0.0000 0.0000 0.4996 1
As1 0.5000 0.5000 0.7165 1
```

As for the energy of formation: 121 meV per atom.



(2)
Here is a relaxed structure of CrFeAs4 from Alexandria. Energies are from GGA-PBE.

```
data_CrFeAs4
_cell_length_a 7.7178
_cell_length_b 7.7178
_cell_length_c 7.7178
_cell_angle_alpha 90.00
_cell_angle_beta 90.00
_cell_angle_gamma 90.00
_space_group_name_H-M_alt 'F -4 3 m'
_space_group_IT_number 216
_space_group_name_Hall 'F -4 2 3'
loop_
_atom_site_label
_atom_site_fract_x
_atom_site_fract_y
_atom_site_fract_z
_atom_site_occupancy
Cr1 0.0000 0.0000 0.0000 1
Fe1 0.2500 0.2500 0.2500 1
As1 0.1243 0.1243 0.6243 1
```

As for the energy of formation: 792 meV per atom.



(3)
Here is a relaxed structure of CrFe3As from Alexandria. Energies are from GGA-PBE.

```
data_CrFe3As
_cell_length_a 4.3900
_cell_length_b 4.3900
_cell_length_c 4.3900
_cell_angle_alpha 90.00
_cell_angle_beta 90.00
_cell_angle_gamma 90.00
_space_group_name_H-M_alt 'P m -3 m'
_space_group_IT_number 221
_space_group_name_Hall '-P 4 2 3'
loop_
_atom_site_label
_atom_site_fract_x
_atom_site_fract_y
_atom_site_fract_z
_atom_site_occupancy
Cr1 0.0000 0.0000 0.0000 1
Fe1 0.0000 0.5000 0.5000 1
As1 0.5000 0.5000 0.5000 1
```

As for the energy of formation: 833 meV per atom.



(4)
Here is a relaxed structure of Cr2FeAs from Alexandria. Energies are from GGA-PBE.

```
data_Cr2FeAs
_cell_length_a 3.4501
_cell_length_b 3.4501
_cell_length_c 7.8945
_cell_angle_alpha 90.00
_cell_angle_beta 90.00
_cell_angle_gamma 90.00
_space_group_name_H-M_alt 'I 4/m m m'
_space_group_IT_number 139
_space_group_name_Hall '-I 4 2'
loop_
_atom_site_label
_atom_site_fract_x
_atom_site_fract_y
_atom_site_fract_z
_atom_site_occupancy
Cr1 0.0000 0.5000 0.2500 1
Fe1 0.0000 0.0000 0.0000 1
As1 0.0000 0.0000 0.5000 1
```

As for the energy of formation: 33 meV per atom.



(5)
Here is a relaxed structure of Cr2FeAs from Alexandria. Energies are from GGA-PBE.

```
data_Cr2FeAs
_cell_length_a 6.5320
_cell_length_b 6.5320
_cell_length_c 4.8689
_cell_angle_alpha 90.00
_cell_angle_beta 90.00
_cell_angle_gamma 90.00
_space_group_name_H-M_alt 'I -4 2 d'
_space_group_IT_number 122
_space_group_name_Hall 'I -4 2bw'
loop_
_atom_site_label
_atom_site_fract_x
_atom_site_fract_y
_atom_site_fract_z
_atom_site_occupancy
Cr1 0.2237 0.7500 0.1250 1
Fe1 0.0000 0.0000 0.0000 1
As1 0.0000 0.0000 0.5000 1
```

As for the energy of formation: 511 meV per atom.



(6)
Here is a relaxed structure of Cr2FeAs from Alexandria. Energies are from GGA-PBE.

```
data_Cr2FeAs
_cell_length_a 5.7536
_cell_length_b 5.7536
_cell_length_c 5.7536
_cell_angle_alpha 90.00
_cell_angle_beta 90.00
_cell_angle_gamma 90.00
_space_group_name_H-M_alt 'F -4 3 m'
_space_group_IT_number 216
_space_group_name_Hall 'F -4 2 3'
loop_
_atom_site_label
_atom_site_fract_x
_atom_site_fract_y
_atom_site_fract_z
_atom_site_occupancy
Cr1 0.0000 0.0000 0.0000 1
Cr2 0.2500 0.2500 0.2500 1
Fe1 0.2500 0.2500 0.7500 1
As1 0.0000 0.0000 0.5000 1
```

As for the energy of formation: 71 meV per atom.



(7)
Here is a relaxed structure of CrFeAs4 from Alexandria. Energies are from GGA-PBE.

```
data_CrFeAs4
_cell_length_a 5.4430
_cell_length_b 2.9009
_cell_length_c 6.1621
_cell_angle_alpha 90.00
_cell_angle_beta 90.11
_cell_angle_gamma 90.00
_space_group_name_H-M_alt 'P 1 2/m 1'
_space_group_IT_number 10
loop_
_space_group_symop_operation_xyz
'x,y,z'
'-x,-y,-z'
'-x,y,-z'
'x,-y,z'
loop_
_atom_site_label
_atom_site_fract_x
_atom_site_fract_y
_atom_site_fract_z
_atom_site_occupancy
Cr1 0.0000 0.0000 0.0000 1
Fe1 0.5000 0.5000 0.5000 1
As1 0.1830 0.0000 0.3712 1
As2 0.3331 0.5000 0.8558 1
```

As for the energy of formation: -180 meV per atom.



(8)
Here is a relaxed structure of Cr2FeAs from Alexandria. Energies are from GGA-PBE.

```
data_Cr2FeAs
_cell_length_a 3.0840
_cell_length_b 4.3333
_cell_length_c 7.6398
_cell_angle_alpha 90.00
_cell_angle_beta 90.00
_cell_angle_gamma 90.00
_space_group_name_H-M_alt 'C m m 2'
_space_group_IT_number 35
loop_
_space_group_symop_operation_xyz
'x,y,z'
'-x,-y,z'
'-x,y,z'
'x,-y,z'
'x+1/2,y+1/2,z'
'-x+1/2,-y+1/2,z'
'-x+1/2,y+1/2,z'
'x+1/2,-y+1/2,z'
loop_
_atom_site_label
_atom_site_fract_x
_atom_site_fract_y
_atom_site_fract_z
_atom_site_occupancy
Cr1 0.0000 0.0000 0.0000 1
Cr2 0.0000 0.5000 0.2365 1
Fe1 0.0000 0.5000 0.7520 1
As1 0.0000 0.0000 0.4944 1
```

As for the energy of formation: 290 meV per atom.